[1]
## TaCdCoSi (PBE)

Data for a relaxed TaCdCoSi crystal.

Properties
For the raw total energy, the calculation gives -5.82 eV per atom. As for the space group: F-43m (216). The excess energy over the best structure of this formula in the dataset comes out at 134.2 meV per atom. The magnetization is 0.0 Bohr magnetons per cell.

```
4
Lattice="-3.605 -2.450 -0.871 -3.584 0.312 2.610 -3.695 1.946 -1.522" Properties=species:S:1:pos:R:3 pbc="T T T"
Cd -2.721 -0.048 0.054
Si 0.000 0.000 0.000
Ta -5.442 -0.096 0.109
Co -8.162 -0.144 0.163
```

=====

[2]
## CdCoSiTc (PBE)

Data for a relaxed CdCoSiTc crystal.

Properties
For the raw total energy, the calculation gives -5.73 eV per atom. As for the space group: F-43m (216). The excess energy over the best structure of this formula in the dataset comes out at 0.0 meV per atom. The magnetization is 0.7 Bohr magnetons per cell.

```
4
Lattice="-3.949 0.612 1.573 -3.064 1.693 -2.487 -3.256 -2.446 -1.361" Properties=species:S:1:pos:R:3 pbc="T T T"
Si 0.000 0.000 0.000
Tc -2.567 -0.035 -0.569
Co -7.702 -0.106 -1.706
Cd -5.135 -0.071 -1.138
```

=====

[3]
## CdCoSiW (PBE)

Data for a relaxed CdCoSiW crystal.

Properties
For the raw total energy, the calculation gives -6.05 eV per atom. As for the space group: F-43m (216). The excess energy over the best structure of this formula in the dataset comes out at 0.0 meV per atom. The magnetization is 0.4 Bohr magnetons per cell.

```
4
Lattice="0.000 3.082 3.082 3.082 0.000 3.082 3.082 3.082 0.000" Properties=species:S:1:pos:R:3 pbc="T T T"
W 1.541 1.541 1.541
Co 4.624 4.624 4.624
Si 0.000 0.000 0.000
Cd 3.082 3.082 3.082
```

=====

[4]
## YCdCoSi (PBE)

Data for a relaxed YCdCoSi crystal.

Properties
For the raw total energy, the calculation gives -4.93 eV per atom. As for the space group: F-43m (216). The excess energy over the best structure of this formula in the dataset comes out at 64.9 meV per atom. The magnetization is 0.0 Bohr magnetons per cell.

```
4
Lattice="-2.937 -3.417 1.040 -4.001 0.953 2.115 -3.988 -0.404 -2.306" Properties=species:S:1:pos:R:3 pbc="T T T"
Cd -2.731 -0.717 0.212
Y -5.463 -1.434 0.425
Si 0.000 0.000 0.000
Co -8.194 -2.151 0.637
```

=====

[5]
## YCdCoSi (PBE)

Data for a relaxed YCdCoSi crystal.

Properties
For the raw total energy, the calculation gives -4.99 eV per atom. As for the space group: F-43m (216). The excess energy over the best structure of this formula in the dataset comes out at 0.0 meV per atom. The magnetization is 0.2 Bohr magnetons per cell.

```
4
Lattice="0.000 3.297 3.297 3.297 0.000 3.297 3.297 3.297 0.000" Properties=species:S:1:pos:R:3 pbc="T T T"
Co 4.945 4.945 4.945
Cd 3.297 3.297 3.297
Y 1.648 1.648 1.648
Si 0.000 0.000 0.000
```

=====

[6]
## ZnCdCoSi (PBE)

Data for a relaxed ZnCdCoSi crystal.

Properties
For the raw total energy, the calculation gives -3.35 eV per atom. As for the space group: F-43m (216). The excess energy over the best structure of this formula in the dataset comes out at 8.3 meV per atom. The magnetization is 0.0 Bohr magnetons per cell.

```
4
Lattice="0.000 3.072 3.072 3.072 0.000 3.072 3.072 3.072 0.000" Properties=species:S:1:pos:R:3 pbc="T T T"
Zn 3.072 3.072 3.072
Si 0.000 0.000 0.000
Cd 1.536 1.536 1.536
Co 4.609 4.609 4.609
```

=====

[7]
## ZnCdCoSi (PBE)

Data for a relaxed ZnCdCoSi crystal.

Properties
For the raw total energy, the calculation gives -3.36 eV per atom. As for the space group: F-43m (216). The excess energy over the best structure of this formula in the dataset comes out at 0.0 meV per atom. The magnetization is 0.1 Bohr magnetons per cell.

```
4
Lattice="0.000 3.074 3.074 3.074 0.000 3.074 3.074 3.074 0.000" Properties=species:S:1:pos:R:3 pbc="T T T"
Cd 3.074 3.074 3.074
Si 0.000 0.000 0.000
Zn 1.537 1.537 1.537
Co 4.611 4.611 4.611
```

=====

[8]
## Sm12CdCo6 (PBE)

Data for a relaxed Sm12CdCo6 crystal.

Properties
For the raw total energy, the calculation gives -5.42 eV per atom. As for the space group: Im-3 (204). The magnetization is 0.0 Bohr magnetons per cell.

```
19
Lattice="-4.931 4.931 4.931 4.931 -4.931 4.931 4.931 4.931 -4.931" Properties=species:S:1:pos:R:3 pbc="T T T"
Sm 0.000 6.852 1.914
Sm 1.914 0.000 6.852
Co 4.931 0.000 1.103
Sm 0.000 3.010 1.914
Sm 3.017 4.931 -1.921
Sm 1.914 0.000 3.010
Sm 4.931 1.921 3.017
Co 3.828 0.000 4.931
Co 1.103 4.931 0.000
Co 0.000 1.103 4.931
Co 0.000 4.931 3.828
Cd 0.000 0.000 0.000
Sm 6.852 1.914 0.000
Sm 3.010 1.914 0.000
Co 4.931 3.828 0.000
Sm -1.921 3.017 4.931
Sm 1.921 3.017 4.931
Sm 4.931 -1.921 3.017
Sm 3.017 4.931 1.921
```